The following is a PBE calculation of an optimized crystal structure of LaSmTh2Sb5, from Alexandria via LeMat-Bulk.

```
data_LaSmTh2Sb5
_cell_length_a 5.336
_cell_length_b 5.336
_cell_length_c 11.757
_cell_angle_alpha 90.00
_cell_angle_beta 90.00
_cell_angle_gamma 90.00
_space_group_name_H-M_alt 'P 4/m m m'
_space_group_IT_number 123
_space_group_name_Hall '-P 4 2'
loop_
_atom_site_label
_atom_site_type_symbol
_atom_site_fract_x
_atom_site_fract_y
_atom_site_fract_z
La1 La 0.000 0.000 0.000
Sm1 Sm 0.000 0.000 0.500
Th1 Th 0.500 0.500 0.307
Sb1 Sb 0.000 0.000 0.252
Sb2 Sb 0.000 0.500 0.500
Sb3 Sb 0.500 0.500 0.000
```

For the uncorrected formation energy, the calculation gives -15.8 kJ per mole of atoms. As for the density of states at the Fermi level: 4.7 states/eV/f.u.